Record 1
Rb2PuAu2Se4: relaxed, PBE.

Output
The calculation puts the uncorrected formation energy at -0.879 eV per atom.

Lattice parameters (Å, degrees): 4.253 8.263 8.003 108.12 105.41 90.00
Each line ends with the local moment (μB).
Element x y z (fractional)
Se1 0.511 0.768 0.021  -0.12
Se2 0.193 0.193 0.385  -0.10
Se3 0.489 0.232 0.979  -0.12
Se4 0.807 0.807 0.615  -0.10
Rb1 0.134 0.577 0.268  0.00
Rb2 0.866 0.423 0.732  0.00
Au1 0.324 0.010 0.648  -0.07
Au2 0.676 0.990 0.352  -0.07
Pu1 0.000 0.000 0.000  4.82


Record 2
NaMg2HgPt: relaxed, PBE.

Output
The value obtained for the formation energy is 122 kJ/mol of formula units.

Lattice parameters (Å, degrees): 5.178 5.244 5.178 90.00 90.00 90.00
Element x y z (fractional)
Pt1 0.000 0.500 0.000
Mg1 0.500 0.000 0.000
Mg2 0.000 0.000 0.500
Hg1 0.000 0.000 0.000
Na1 0.500 0.500 0.500


Record 3
KAsW2: relaxed, PBE.

Output
The value obtained for the formation energy is 241 kJ/mol of formula units.

Lattice parameters (Å, degrees): 4.477 4.477 7.438 84.04 84.04 40.01
Element x y z (fractional)
W1 0.978 0.978 0.108
W2 0.246 0.246 0.245
As1 0.517 0.517 0.409
K1 0.759 0.759 0.738


Record 4
BaSrSb2: relaxed, PBE.

Output
The calculation puts the energy above the most stable polymorph in this dataset at 151.2 meV/atom. The calculation puts the uncorrected formation energy at -0.747 eV per atom.

Lattice parameters (Å, degrees): 6.938 6.938 6.938 138.84 138.84 59.62
Element x y z (fractional)
Sr1 0.500 0.500 0.000
Sb1 0.000 0.000 0.000
Sb2 0.250 0.750 0.500
Ba1 0.750 0.250 0.500